# Pm2TlF | the Alexandria database | PBE | optimized geometry
# - magnetic moment (μB/cell) = 0.000
# - DOS(E_F) (states/eV/atom) = 0.60
# - uncorrected formation energy (eV/f.u.) = -5.2
# - V (Å³ per atom) = 24.56
# - energy relative to the lowest polymorph listed for this composition (meV per atom) = 0
data_Pm2TlF
_chemical_formula_sum 'Pm6 Tl3 F3'
_symmetry_space_group_name_H-M 'R -3 m'
_symmetry_Int_Tables_number 166
_symmetry_space_group_name_Hall '-R 3 2"'
_cell_length_a 3.8166
_cell_length_b 3.8166
_cell_length_c 23.3581
_cell_angle_alpha 90.00
_cell_angle_beta 90.00
_cell_angle_gamma 120.00
loop_
_atom_site_label
_atom_site_fract_x
_atom_site_fract_y
_atom_site_fract_z
Pm1 0.0000 0.0000 0.2280
Tl1 0.0000 0.0000 0.0000
F1 0.0000 0.0000 0.5000